(1)
Density functional theory data (PBE) for crystalline NaCd2TePt at its relaxed geometry.

a b c (Å): 5.810 5.810 5.068
angles (deg): 90.00 90.00 90.00
Atoms (fractional coordinates):
Na (0.000, 0.000, 0.000)
Cd (0.000, 0.500, 0.500)
Cd (0.500, 0.000, 0.500)
Te (0.500, 0.500, 0.500)
Pt (0.500, 0.500, 0.000)

Properties
formation energy from raw total energies = 316.0 meV/atom


(2)
Density functional theory data (PBE) for crystalline NaTlCd2Pt at its relaxed geometry.

a b c (Å): 5.302 5.302 5.255
angles (deg): 90.00 90.00 90.00
Atoms (fractional coordinates):
Na (0.000, 0.000, 0.000)
Tl (0.500, 0.500, 0.000)
Cd (0.000, 0.500, 0.500)
Cd (0.500, 0.000, 0.500)
Pt (0.500, 0.500, 0.500)

Properties
excess energy over the best structure of this formula in the dataset = 0 meV/atom
energy of formation = -125 meV/atom


(3)
Density functional theory data (PBE) for crystalline NaTl2CdPt at its relaxed geometry.

a b c (Å): 5.323 5.323 5.344
angles (deg): 90.00 90.00 90.00
Atoms (fractional coordinates):
Na (0.000, 0.000, 0.000)
Tl (0.000, 0.500, 0.500)
Tl (0.500, 0.000, 0.500)
Cd (0.500, 0.500, 0.000)
Pt (0.500, 0.500, 0.500)

Properties
excess energy over the best structure of this formula in the dataset = 0 meV/atom
energy of formation = -67 meV/atom


(4)
Density functional theory data (PBE) for crystalline NaTlCd2Pt at its relaxed geometry.

a b c (Å): 5.259 5.259 5.348
angles (deg): 90.00 90.00 90.00
Atoms (fractional coordinates):
Na (0.000, 0.000, 0.000)
Tl (0.500, 0.500, 0.000)
Cd (0.000, 0.500, 0.500)
Cd (0.500, 0.000, 0.500)
Pt (0.000, 0.000, 0.500)

Properties
excess energy over the best structure of this formula in the dataset = 96 meV/atom
energy of formation = -29 meV/atom


no.,mass density (Mg/m³),magnetization (μB/atom)
1,5.5,0.000
2,7.3,0.000
3,8.1,0.000
4,7.3,0.000